No. 1
Entry from the Alexandria database: a geometry-optimized Rb3Cd2Ag4 structure (PBE).

Cell and atoms, written as POSCAR:
```
Rb3Cd2Ag4
1.0
6.403 -2.515 0.000
6.403 2.515 0.000
-2.864 0.000 9.312
Rb Cd Ag
3 2 4
Cartesian
0.000 0.000 0.000
2.979 0.000 5.820
6.962 0.000 3.492
3.522 0.000 2.085
6.420 0.000 7.227
-0.728 0.000 5.911
0.489 0.000 8.536
9.453 0.000 0.776
10.670 0.000 3.401
```

As for the space-group type: C2/m. Its total energy is -16.33 eV/cell.

---

No. 2
Entry from the Alexandria database: a geometry-optimized RbCd9Ag2 structure (PBE).

Cell and atoms, written as POSCAR:
```
RbCd9Ag2
1.0
-6.063 6.063 3.923
6.063 -6.063 3.923
6.063 6.063 -3.923
Rb Cd Ag
2 18 4
Cartesian
6.063 3.032 0.981
0.000 3.032 2.942
6.063 -3.032 2.942
4.595 -0.559 1.430
7.532 -0.559 1.430
2.473 1.563 0.531
9.654 1.563 0.531
4.595 5.505 -1.430
1.469 -0.559 2.493
2.473 4.501 0.531
3.590 -1.563 4.454
2.473 7.626 -0.531
3.590 1.563 3.391
4.595 6.622 1.430
1.469 0.559 5.353
-3.590 4.501 3.391
3.590 4.501 3.391
-1.469 6.622 2.493
1.469 6.622 2.493
0.000 9.095 0.981
0.000 0.000 0.000
3.032 3.032 -1.961
3.032 -3.032 1.961
0.000 6.063 0.000
```

As for the space-group type: I4_1/amd. As for the energy above the most stable polymorph in this dataset: 0.0000 eV per atom.

---

No. 3
Entry from the Alexandria database: a geometry-optimized RbCd2Ag3 structure (PBE).

Cell and atoms, written as POSCAR:
```
RbCd2Ag3
1.0
5.855 -4.650 0.000
5.855 4.650 0.000
0.000 0.000 5.943
Rb Cd Ag
2 4 6
Cartesian
5.855 3.091 4.457
5.855 -3.091 1.486
3.473 0.000 0.000
3.473 0.000 2.972
8.236 0.000 0.000
8.236 0.000 2.972
3.484 2.465 1.486
5.855 0.801 1.486
8.226 2.465 1.486
3.484 -2.465 4.457
5.855 -0.801 4.457
8.226 -2.465 4.457
```

As for the space-group type: Cmcm. Its total energy is -23.20 eV/cell.

---

No. 4
Entry from the Alexandria database: a geometry-optimized Rb3Cd3Ag structure (PBE).

Cell and atoms, written as POSCAR:
```
Rb3Cd3Ag
1.0
6.660 -2.646 0.000
6.660 2.646 0.000
-6.249 0.000 16.419
Rb Cd Ag
6 6 2
Cartesian
-2.147 0.000 6.404
-4.272 0.000 15.100
2.012 0.000 3.883
5.059 0.000 12.536
11.343 0.000 1.319
9.218 0.000 10.016
1.343 0.000 7.539
-0.314 0.000 15.106
1.032 0.000 12.456
6.039 0.000 3.963
7.385 0.000 1.313
5.728 0.000 8.880
-0.334 0.000 9.935
7.405 0.000 6.484
```

As for the space-group type: C2/m. Its total energy is -17.48 eV/cell.

---

No. 5
Entry from the Alexandria database: a geometry-optimized RbCd6Ag3 structure (PBE).

Cell and atoms, written as POSCAR:
```
RbCd6Ag3
1.0
7.522 0.000 0.000
0.000 7.643 0.000
-5.057 0.000 8.455
Rb Cd Ag
2 12 6
Cartesian
0.000 0.000 0.000
-2.528 3.822 4.228
-2.446 0.298 5.760
0.082 3.524 1.532
-0.139 1.170 3.770
-2.667 2.652 7.998
2.517 5.388 1.853
-0.011 6.077 6.081
2.477 1.567 2.375
-0.051 2.255 6.602
5.133 4.991 0.458
2.605 6.474 4.685
2.384 4.120 6.924
4.912 7.346 2.696
-2.583 5.406 7.339
-0.055 6.060 3.111
3.761 0.000 0.000
1.233 3.822 4.228
2.521 1.584 5.345
5.049 2.238 1.117
```

As for the space-group type: P2_1/c. Its total energy is -30.10 eV/cell.

---

No. 6
Entry from the Alexandria database: a geometry-optimized RbCd3Ag3 structure (PBE).

Cell and atoms, written as POSCAR:
```
RbCd3Ag3
1.0
7.797 0.000 0.000
0.000 7.797 0.000
0.000 0.000 7.797
Rb Cd Ag
2 6 6
Cartesian
0.000 0.000 0.000
3.898 3.898 3.898
0.000 1.949 3.898
0.000 5.848 3.898
1.949 3.898 0.000
3.898 0.000 1.949
3.898 0.000 5.848
5.848 3.898 0.000
0.000 3.898 1.949
0.000 3.898 5.848
1.949 0.000 3.898
3.898 1.949 0.000
3.898 5.848 0.000
5.848 0.000 3.898
```

As for the space-group type: Pm-3n. Its total energy is -22.01 eV/cell.

---

no.,magnetization (μB per cell)
1,0.0
2,0.0
3,0.0
4,0.0
5,0.0
6,0.0